Entry from Alexandria: Na3PrTl4 after structural relaxation (GGA-PBE).

POSCAR file:
```
Na3PrTl4
1.0
-2.229 4.826 1.434
-4.993 -1.917 -1.308
2.727 -3.938 6.922
Pr Na Tl
1 3 4
Cartesian
-1.114 2.413 0.717 Pr
-2.496 -0.959 -0.654 Na
-1.558 1.168 4.217 Na
-2.936 -2.197 2.832 Na
-0.658 -1.851 5.206 Tl
-3.836 0.822 1.842 Tl
-0.224 -0.632 1.780 Tl
-4.271 -0.397 5.269 Tl
```

Fermi-level density of states   0.51 states/eV/atom
Magnetization   0.0 μB per cell
Energy   -2.4533 eV per atom
Calculated volume   226.33 Å³/cell
ΔE_f   -0.178 eV/atom